w.
First-principles (GGA-PBE) data for an optimized crystal structure of CaHf2Ru2, as listed in Alexandria via LeMat-Bulk.

Cell and atoms, written as extended XYZ:
```
10
Lattice="4.3821 0.0000 0.0000 0.0000 4.3821 0.0000 0.0000 0.0000 11.3981" Properties=species:S:1:pos:R:3 pbc="T T T"
Ca 0.0000 0.0000 0.0000
Ca 2.1911 2.1911 5.6990
Hf 0.0000 2.1911 2.8495
Hf 0.0000 2.1911 8.5486
Hf 2.1911 0.0000 2.8495
Hf 2.1911 0.0000 8.5486
Ru 0.0000 0.0000 4.4059
Ru 0.0000 0.0000 6.9922
Ru 2.1911 2.1911 1.2932
Ru 2.1911 2.1911 10.1049
```

=====

x.
First-principles (GGA-PBE) data for an optimized crystal structure of CaHf2Ru2, as listed in Alexandria via LeMat-Bulk.

Cell and atoms, written as extended XYZ:
```
10
Lattice="7.8779 0.0000 0.0000 0.0000 7.8779 0.0000 0.0000 0.0000 3.1974" Properties=species:S:1:pos:R:3 pbc="T T T"
Ca 0.0000 0.0000 0.0000
Ca 3.9389 3.9389 0.0000
Hf 1.1257 2.8133 1.5987
Hf 2.8133 6.7522 1.5987
Hf 5.0646 1.1257 1.5987
Hf 6.7522 5.0646 1.5987
Ru 1.1442 5.0831 0.0000
Ru 2.7948 1.1442 0.0000
Ru 5.0831 6.7337 0.0000
Ru 6.7337 2.7948 0.0000
```

=====

Stability check: which of them is most stable? x.